Here is K2Au after structural relaxation from Alexandria. Energies are from PBEsol.

## Properties
Final energy = -2.1505 eV per atom

abc: 4.947 8.726 8.726
angles: 120.00 90.00 90.00
Fractional coordinates of all 9 atoms:
Au (0.000, 0.333, 0.667)
Au (0.500, 0.000, 0.000)
Au (0.000, 0.667, 0.333)
K (0.500, 0.000, 0.586)
K (0.000, 0.000, 0.257)
K (0.500, 0.414, 0.414)
K (0.000, 0.257, 0.000)
K (0.500, 0.586, 0.000)
K (0.000, 0.743, 0.743)

=====

Here is TcHg3 after structural relaxation from Alexandria. Energies are from PBEsol.

## Properties
Final energy = -2.5382 eV per atom

abc: 4.716 4.716 4.716
angles: 60.00 60.00 60.00
Fractional coordinates of all 4 atoms:
Tc (0.000, 0.000, 0.000)
Hg (0.500, 0.500, 0.500)
Hg (0.750, 0.750, 0.750)
Hg (0.250, 0.250, 0.250)

=====

Here is Eu2InHg after structural relaxation from Alexandria. Energies are from PBEsol.

## Properties
Final energy = -6.7246 eV per atom

abc: 5.413 5.413 5.413
angles: 60.00 60.00 60.00
Fractional coordinates of all 4 atoms:
Eu (0.250, 0.250, 0.250)
Eu (0.750, 0.750, 0.750)
In (0.000, 0.000, 0.000)
Hg (0.500, 0.500, 0.500)

=====

Here is ZrCrSi2 after structural relaxation from Alexandria. Energies are from PBEsol.

## Properties
Energy above the most stable polymorph in this dataset = 0 meV per atom

abc: 7.948 9.023 9.704
angles: 90.00 90.00 90.00
Fractional coordinates of all 48 atoms:
Zr (0.253, 0.172, 0.952)
Zr (0.747, 0.672, 0.548)
Zr (0.747, 0.328, 0.452)
Zr (0.500, 0.669, 0.820)
Zr (0.500, 0.331, 0.180)
Zr (0.500, 0.831, 0.320)
Zr (0.253, 0.828, 0.048)
Zr (0.747, 0.172, 0.952)
Zr (0.747, 0.828, 0.048)
Zr (0.253, 0.672, 0.548)
Zr (0.253, 0.328, 0.452)
Zr (0.500, 0.169, 0.680)
Si (0.000, 0.041, 0.126)
Si (0.000, 0.610, 0.098)
Si (0.000, 0.459, 0.626)
Si (0.000, 0.390, 0.902)
Si (0.150, 0.171, 0.681)
Si (0.850, 0.829, 0.319)
Si (0.500, 0.375, 0.897)
Si (0.500, 0.539, 0.379)
Si (0.150, 0.671, 0.819)
Si (0.000, 0.541, 0.374)
Si (0.850, 0.171, 0.681)
Si (0.850, 0.671, 0.819)
Si (0.500, 0.039, 0.121)
Si (0.000, 0.890, 0.598)
Si (0.150, 0.329, 0.181)
Si (0.500, 0.461, 0.621)
Si (0.500, 0.875, 0.603)
Si (0.500, 0.625, 0.103)
Si (0.850, 0.329, 0.181)
Si (0.500, 0.125, 0.397)
Si (0.150, 0.829, 0.319)
Si (0.500, 0.961, 0.879)
Si (0.000, 0.959, 0.874)
Si (0.000, 0.110, 0.402)
Cr (0.255, 0.000, 0.500)
Cr (0.745, 0.500, 0.000)
Cr (0.749, 0.079, 0.255)
Cr (0.749, 0.921, 0.745)
Cr (0.251, 0.079, 0.255)
Cr (0.749, 0.579, 0.245)
Cr (0.255, 0.500, 0.000)
Cr (0.745, 0.000, 0.500)
Cr (0.251, 0.579, 0.245)
Cr (0.749, 0.421, 0.755)
Cr (0.251, 0.421, 0.755)
Cr (0.251, 0.921, 0.745)